[1]
A relaxed LiCrBi2O6 crystal, computed with PBE+U.

Cell lengths 5.259, 5.259, 4.889 Å; angles 90.00, 90.00, 90.00 degrees
Space group P4mm (No. 99)
One atom of each set of equivalent atoms:
Li (0.000, 0.000, 0.000) (multiplicity 1)
Cr (0.500, 0.500, 0.037) (multiplicity 1)
Bi (0.000, 0.500, 0.450) (multiplicity 2)
O (0.000, 0.000, 0.601) (multiplicity 1)
O (0.267, 0.267, 0.172) (multiplicity 4)
O (0.500, 0.500, 0.695) (multiplicity 1)

## Properties
final energy = -6.04 eV/atom

***

[2]
A relaxed ScTiMn2O6 crystal, computed with PBE+U.

Cell lengths 5.110, 5.112, 5.538 Å; angles 62.73, 89.87, 60.21 degrees
Space group P1 (No. 1)
One atom of each set of equivalent atoms:
Sc (0.000, 0.000, 0.000) (multiplicity 1)
Ti (0.497, 0.003, 0.486) (multiplicity 1)
Mn (0.293, 0.415, 0.878) (multiplicity 1)
Mn (0.797, 0.406, 0.393) (multiplicity 1)
O (0.082, 0.505, 0.188) (multiplicity 1)
O (0.203, 0.925, 0.662) (multiplicity 1)
O (0.411, 0.901, 0.184) (multiplicity 1)
O (0.588, 0.212, 0.660) (multiplicity 1)
O (0.688, 0.226, 0.186) (multiplicity 1)
O (0.873, 0.540, 0.666) (multiplicity 1)

## Properties
final energy = -8.04 eV/atom